[1]
Computed, not measured: an optimized crystal structure of ZnCrRe at the PBE-GGA level of DFT.

POSCAR file:
```
ZnCrRe
1.0
0.000 2.170 6.494
1.481 0.000 6.494
1.481 2.170 0.000
Zn Cr Re
1 1 1
Cartesian
0.000 0.000 0.000
1.481 2.170 8.643
1.481 2.170 4.165
```

Computed properties:
Volume   13.92 Å³ per atom
Energy   -7.580 eV/atom
Distance to the lowest polymorph of the same formula   0.074 eV per atom
Size of the total moment   0.00 μB per formula unit


[2]
Computed, not measured: an optimized crystal structure of ZnCrRe at the PBE-GGA level of DFT.

POSCAR file:
```
ZnCrRe
1.0
0.000 2.873 2.873
2.873 0.000 2.873
2.873 2.873 0.000
Zn Cr Re
1 1 1
Cartesian
0.000 0.000 0.000
4.310 4.310 4.310
2.873 2.873 2.873
```

Computed properties:
Volume   15.82 Å³ per atom
Energy   -7.113 eV/atom
Distance to the lowest polymorph of the same formula   0.541 eV per atom
Size of the total moment   0.97 μB per formula unit


- volume of number 1 (ZnCrRe)?
  13.92 Å³ per atom


- Which of these has the highest size of the total moment?
  number 2


- volume of number 2 (ZnCrRe)?
  15.82 Å³ per atom


What did the second record say?
Computed, not measured: an optimized crystal structure of ZnCrRe at the PBE-GGA level of DFT.

POSCAR file:
```
ZnCrRe
1.0
0.000 2.873 2.873
2.873 0.000 2.873
2.873 2.873 0.000
Zn Cr Re
1 1 1
Cartesian
0.000 0.000 0.000
4.310 4.310 4.310
2.873 2.873 2.873
```

Computed properties:
Volume   15.82 Å³ per atom
Energy   -7.113 eV/atom
Distance to the lowest polymorph of the same formula   0.541 eV per atom
Size of the total moment   0.97 μB per formula unit